(1)
The following is a DFT calculation (PBE) of TmUIrRh after structural relaxation.

calculated volume: 79.1 Å³ per cell
total DFT energy (no corrections): -8.618 eV/atom
D(E_F): 1.24 states/eV/atom
SG: F-43m, No. 216
ΔE_f: -2.5 eV/f.u.
spin magnetization: 2.4 μB per formula unit

Cell and atoms, written as extended XYZ:
```
4
Lattice="0.0000 3.4066 3.4066 3.4066 0.0000 3.4066 3.4066 3.4066 0.0000" Properties=species:S:1:pos:R:3 pbc="T T T"
Tm 0.0000 0.0000 0.0000
U 3.4066 3.4066 3.4066
Ir 1.7033 1.7033 1.7033
Rh 5.1099 5.1099 5.1099
```

(2)
The following is a DFT calculation (PBE) of TmVIrRh after structural relaxation.

calculated volume: 67.1 Å³ per cell
total DFT energy (no corrections): -7.890 eV/atom
D(E_F): 1.39 states/eV/atom
SG: F-43m, No. 216
ΔE_f: -1.8 eV/f.u.
spin magnetization: 2.0 μB per formula unit

Cell and atoms, written as extended XYZ:
```
4
Lattice="0.0000 3.2247 3.2247 3.2247 0.0000 3.2247 3.2247 3.2247 0.0000" Properties=species:S:1:pos:R:3 pbc="T T T"
Tm 0.0000 0.0000 0.0000
V 3.2247 3.2247 3.2247
Ir 4.8371 4.8371 4.8371
Rh 1.6124 1.6124 1.6124
```

(3)
The following is a DFT calculation (PBE) of YTmIrRh after structural relaxation.

calculated volume: 79.1 Å³ per cell
total DFT energy (no corrections): -7.685 eV/atom
D(E_F): 0.39 states/eV/atom
SG: F-43m, No. 216
ΔE_f: -3.6 eV/f.u.
spin magnetization: 0.0 μB per formula unit

Cell and atoms, written as extended XYZ:
```
4
Lattice="0.0000 3.4071 3.4071 3.4071 0.0000 3.4071 3.4071 3.4071 0.0000" Properties=species:S:1:pos:R:3 pbc="T T T"
Y 0.0000 0.0000 0.0000
Tm 3.4071 3.4071 3.4071
Ir 1.7036 1.7036 1.7036
Rh 5.1107 5.1107 5.1107
```

(4)
The following is a DFT calculation (PBE) of UIrRh after structural relaxation.

calculated volume: 62.9 Å³ per cell
total DFT energy (no corrections): -9.247 eV/atom
D(E_F): 2.02 states/eV/atom
SG: F-43m, No. 216
ΔE_f: -0.2 eV/f.u.
spin magnetization: 1.2 μB per formula unit
ΔE to the lowest computed polymorph: 0.262 eV/atom

Cell and atoms, written as extended XYZ:
```
3
Lattice="0.0000 3.1560 3.1560 3.1560 0.0000 3.1560 3.1560 3.1560 0.0000" Properties=species:S:1:pos:R:3 pbc="T T T"
U 0.0000 0.0000 0.0000
Ir 4.7339 4.7339 4.7339
Rh 1.5780 1.5780 1.5780
```

(5)
The following is a DFT calculation (PBE) of UIrRh after structural relaxation.

calculated volume: 52.6 Å³ per cell
total DFT energy (no corrections): -9.435 eV/atom
D(E_F): 1.66 states/eV/atom
SG: P3m1, No. 156
ΔE_f: -0.8 eV/f.u.
spin magnetization: 1.0 μB per formula unit
ΔE to the lowest computed polymorph: 0.075 eV/atom

Cell and atoms, written as extended XYZ:
```
3
Lattice="4.5743 0.0000 0.0000 -2.2872 3.9615 0.0000 0.0000 0.0000 2.9024" Properties=species:S:1:pos:R:3 pbc="T T T"
U 0.0000 0.0000 0.0000
Ir 0.0000 2.6410 0.9044
Rh 2.2872 1.3205 2.1447
```

(6)
The following is a DFT calculation (PBE) of UIr2Rh after structural relaxation.

calculated volume: 69.5 Å³ per cell
total DFT energy (no corrections): -9.278 eV/atom
D(E_F): 1.32 states/eV/atom
SG: R-3m, No. 166
ΔE_f: -0.8 eV/f.u.
spin magnetization: 0.4 μB per formula unit

Cell and atoms, written as extended XYZ:
```
4
Lattice="2.2708 1.3111 3.8895 -2.2708 1.3111 3.8895 0.0000 -2.6221 3.8895" Properties=species:S:1:pos:R:3 pbc="T T T"
U 0.0000 0.0000 0.0000
Ir 0.0000 0.0000 3.1476
Ir 0.0000 0.0000 8.5207
Rh 0.0000 0.0000 5.8342
```

(7)
The following is a DFT calculation (PBE) of UIrRh4 after structural relaxation.

calculated volume: 194.8 Å³ per cell
total DFT energy (no corrections): -8.541 eV/atom
D(E_F): 1.04 states/eV/atom
SG: Fddd, No. 70
ΔE_f: -1.7 eV/f.u.
spin magnetization: 0.0 μB per formula unit
ΔE to the lowest computed polymorph: 0.000 eV/atom

Cell and atoms, written as extended XYZ:
```
12
Lattice="0.0000 4.5364 7.7362 2.7760 0.0000 7.7362 2.7760 4.5364 0.0000" Properties=species:S:1:pos:R:3 pbc="T T T"
U 0.6940 1.1341 1.9340
U 4.8580 7.9387 13.5383
Ir 2.0820 3.4023 5.8021
Ir 3.4700 5.6705 9.6702
Rh 2.1148 1.1366 4.3704
Rh 2.0492 1.1366 7.2338
Rh 3.4372 3.4048 8.2385
Rh 3.5028 3.4048 11.1019
Rh 2.0492 5.6680 4.3704
Rh 2.1148 5.6680 7.2338
Rh 3.5028 7.9362 8.2385
Rh 3.4372 7.9362 11.1019
```

(8)
The following is a DFT calculation (PBE) of UIrRh4 after structural relaxation.

calculated volume: 210.7 Å³ per cell
total DFT energy (no corrections): -8.202 eV/atom
D(E_F): 1.95 states/eV/atom
SG: P-42c, No. 112
ΔE_f: 0.3 eV/f.u.
spin magnetization: 0.0 μB per formula unit
ΔE to the lowest computed polymorph: 0.339 eV/atom

Cell and atoms, written as extended XYZ:
```
12
Lattice="4.9317 0.0000 0.0000 0.0000 4.9317 0.0000 0.0000 0.0000 8.6630" Properties=species:S:1:pos:R:3 pbc="T T T"
U 0.0000 2.4658 2.1657
U 2.4658 0.0000 6.4972
Ir 0.0000 0.0000 0.0000
Ir 0.0000 0.0000 4.3315
Rh 1.2352 1.9817 7.6799
Rh 1.2352 2.9500 5.3146
Rh 1.9817 1.2352 3.3484
Rh 1.9817 3.6965 0.9831
Rh 2.9500 1.2352 0.9831
Rh 2.9500 3.6965 3.3484
Rh 3.6965 1.9817 5.3146
Rh 3.6965 2.9500 7.6799
```

(9)
The following is a DFT calculation (PBE) of UIrRh2 after structural relaxation.

calculated volume: 67.2 Å³ per cell
total DFT energy (no corrections): -9.013 eV/atom
D(E_F): 1.14 states/eV/atom
SG: R-3m, No. 166
ΔE_f: -1.2 eV/f.u.
spin magnetization: 0.0 μB per formula unit
ΔE to the lowest computed polymorph: 0.358 eV/atom

Cell and atoms, written as extended XYZ:
```
4
Lattice="2.2577 1.3035 3.8053 -2.2577 1.3035 3.8053 0.0000 -2.6070 3.8053" Properties=species:S:1:pos:R:3 pbc="T T T"
U 0.0000 0.0000 0.0000
Ir 0.0000 0.0000 5.7080
Rh 0.0000 0.0000 2.9697
Rh 0.0000 0.0000 8.4462
```

(10)
The following is a DFT calculation (PBE) of U2Ir9Rh after structural relaxation.

calculated volume: 191.3 Å³ per cell
total DFT energy (no corrections): -9.507 eV/atom
D(E_F): 0.89 states/eV/atom
SG: P4/mmm, No. 123
ΔE_f: -4.4 eV/f.u.
spin magnetization: 0.0 μB per formula unit

Cell and atoms, written as extended XYZ:
```
12
Lattice="4.0009 0.0000 0.0000 0.0000 4.0009 0.0000 0.0000 0.0000 11.9501" Properties=species:S:1:pos:R:3 pbc="T T T"
U 0.0000 0.0000 2.0657
U 0.0000 0.0000 9.8845
Ir 0.0000 2.0005 0.0000
Ir 0.0000 2.0005 4.0563
Ir 0.0000 2.0005 7.8938
Ir 2.0005 0.0000 0.0000
Ir 2.0005 0.0000 4.0563
Ir 2.0005 0.0000 7.8938
Ir 2.0005 2.0005 2.0281
Ir 2.0005 2.0005 5.9751
Ir 2.0005 2.0005 9.9220
Rh 0.0000 0.0000 5.9751
```

(11)
The following is a DFT calculation (PBE) of UIrRh2 after structural relaxation.

calculated volume: 65.5 Å³ per cell
total DFT energy (no corrections): -9.371 eV/atom
D(E_F): 1.33 states/eV/atom
SG: P4/mmm, No. 123
ΔE_f: -2.6 eV/f.u.
spin magnetization: 0.0 μB per formula unit
ΔE to the lowest computed polymorph: 0.000 eV/atom

Cell and atoms, written as extended XYZ:
```
4
Lattice="4.0287 0.0000 0.0000 0.0000 4.0287 0.0000 0.0000 0.0000 4.0360" Properties=species:S:1:pos:R:3 pbc="T T T"
U 0.0000 0.0000 0.0000
Ir 2.0143 2.0143 0.0000
Rh 0.0000 2.0143 2.0180
Rh 2.0143 0.0000 2.0180
```

(12)
The following is a DFT calculation (PBE) of UIrRh after structural relaxation.

calculated volume: 107.6 Å³ per cell
total DFT energy (no corrections): -9.509 eV/atom
D(E_F): 1.67 states/eV/atom
SG: P4/nmm, No. 129
ΔE_f: -1.0 eV/f.u.
spin magnetization: 0.5 μB per formula unit
ΔE to the lowest computed polymorph: 0.001 eV/atom

Cell and atoms, written as extended XYZ:
```
6
Lattice="3.4882 0.0000 0.0000 0.0000 3.4882 0.0000 0.0000 0.0000 8.8463" Properties=species:S:1:pos:R:3 pbc="T T T"
U 0.8721 0.8721 2.2014
U 2.6162 2.6162 6.6449
Ir 0.8721 0.8721 8.0296
Ir 2.6162 2.6162 0.8167
Rh 0.8721 0.8721 5.1790
Rh 2.6162 2.6162 3.6673
```

(13)
The following is a DFT calculation (PBE) of UIrRh after structural relaxation.

calculated volume: 53.9 Å³ per cell
total DFT energy (no corrections): -9.509 eV/atom
D(E_F): 1.77 states/eV/atom
SG: I4mm, No. 107
ΔE_f: -1.0 eV/f.u.
spin magnetization: 0.5 μB per formula unit
ΔE to the lowest computed polymorph: 0.000 eV/atom

Cell and atoms, written as extended XYZ:
```
3
Lattice="-1.7434 1.7434 4.4312 1.7434 -1.7434 4.4312 1.7434 1.7434 -4.4312" Properties=species:S:1:pos:R:3 pbc="T T T"
U 0.0000 0.0000 0.0000
Ir 0.0000 0.0000 3.0615
Rh 0.0000 0.0000 5.9093
```

(14)
The following is a DFT calculation (PBE) of VIr2Rh5 after structural relaxation.

calculated volume: 238.3 Å³ per cell
total DFT energy (no corrections): -7.807 eV/atom
D(E_F): 1.48 states/eV/atom
SG: I4/mcm, No. 140
ΔE_f: 1.1 eV/f.u.
spin magnetization: 0.0 μB per formula unit

Cell and atoms, written as extended XYZ:
```
16
Lattice="-3.2772 3.2772 5.5474 3.2772 -3.2772 5.5474 3.2772 3.2772 -5.5474" Properties=species:S:1:pos:R:3 pbc="T T T"
V 0.0000 0.0000 2.7737
V 0.0000 0.0000 8.3211
Ir 4.1704 0.8932 0.0000
Ir 0.8932 2.3839 0.0000
Ir 2.3839 0.8932 5.5474
Ir -0.8932 2.3839 5.5474
Rh 0.0000 0.0000 0.0000
Rh 4.2599 -0.9828 1.8744
Rh 2.2944 -0.9828 3.6730
Rh 2.2944 0.9828 1.8744
Rh 4.2599 0.9828 3.6730
Rh 0.0000 0.0000 5.5474
Rh -0.9828 2.2944 1.8744
Rh 0.9828 2.2944 3.6730
Rh 0.9828 4.2599 1.8744
Rh -0.9828 4.2599 3.6730
```

(15)
The following is a DFT calculation (PBE) of VIrRh3 after structural relaxation.

calculated volume: 104.0 Å³ per cell
total DFT energy (no corrections): -6.548 eV/atom
D(E_F): 2.61 states/eV/atom
SG: Pm-3m, No. 221
ΔE_f: 7.3 eV/f.u.
spin magnetization: 3.0 μB per formula unit
ΔE to the lowest computed polymorph: 1.529 eV/atom

Cell and atoms, written as extended XYZ:
```
5
Lattice="4.7027 0.0000 0.0000 0.0000 4.7027 0.0000 0.0000 0.0000 4.7027" Properties=species:S:1:pos:R:3 pbc="T T T"
V 0.0000 0.0000 0.0000
Ir 2.3513 2.3513 2.3513
Rh 0.0000 2.3513 2.3513
Rh 2.3513 0.0000 2.3513
Rh 2.3513 2.3513 0.0000
```

(16)
The following is a DFT calculation (PBE) of V4Ir2Rh after structural relaxation.

calculated volume: 124.9 Å³ per cell
total DFT energy (no corrections): -8.104 eV/atom
D(E_F): 1.43 states/eV/atom
SG: I4/mmm, No. 139
ΔE_f: 4.8 eV/f.u.
spin magnetization: 3.0 μB per formula unit

Cell and atoms, written as extended XYZ:
```
7
Lattice="-2.2442 2.2442 6.2014 2.2442 -2.2442 6.2014 2.2442 2.2442 -6.2014" Properties=species:S:1:pos:R:3 pbc="T T T"
V 2.2442 0.0000 0.0000
V 0.0000 0.0000 2.4478
V 0.0000 2.2442 0.0000
V 0.0000 0.0000 9.9550
Ir 0.0000 0.0000 4.7937
Ir 0.0000 0.0000 7.6090
Rh 0.0000 0.0000 0.0000
```

(17)
The following is a DFT calculation (PBE) of V3Ir2Rh after structural relaxation.

calculated volume: 83.2 Å³ per cell
total DFT energy (no corrections): -9.195 eV/atom
D(E_F): 1.30 states/eV/atom
SG: P4/mmm, No. 123
ΔE_f: -2.7 eV/f.u.
spin magnetization: 0.0 μB per formula unit

Cell and atoms, written as extended XYZ:
```
6
Lattice="2.7433 0.0000 0.0000 0.0000 2.7433 0.0000 0.0000 0.0000 11.0526" Properties=species:S:1:pos:R:3 pbc="T T T"
V 0.0000 0.0000 0.0000
V 0.0000 0.0000 3.6834
V 0.0000 0.0000 7.3692
Ir 1.3717 1.3717 1.8550
Ir 1.3717 1.3717 9.1976
Rh 1.3717 1.3717 5.5263
```

(18)
The following is a DFT calculation (PBE) of VIrRh2 after structural relaxation.

calculated volume: 55.9 Å³ per cell
total DFT energy (no corrections): -8.505 eV/atom
D(E_F): 0.86 states/eV/atom
SG: I4/mmm, No. 139
ΔE_f: -1.3 eV/f.u.
spin magnetization: 0.0 μB per formula unit

Cell and atoms, written as extended XYZ:
```
4
Lattice="-1.9066 1.9066 3.8435 1.9066 -1.9066 3.8435 1.9066 1.9066 -3.8435" Properties=species:S:1:pos:R:3 pbc="T T T"
V 0.0000 0.0000 0.0000
Ir 0.0000 0.0000 3.8435
Rh 1.9066 0.0000 1.9218
Rh 0.0000 1.9066 1.9218
```

(19)
The following is a DFT calculation (PBE) of VIr4Rh2 after structural relaxation.

calculated volume: 106.2 Å³ per cell
total DFT energy (no corrections): -8.495 eV/atom
D(E_F): 1.03 states/eV/atom
SG: Cmmm, No. 65
ΔE_f: -0.2 eV/f.u.
spin magnetization: 0.0 μB per formula unit
ΔE to the lowest computed polymorph: 0.000 eV/atom

Cell and atoms, written as extended XYZ:
```
7
Lattice="1.3595 -10.2936 0.0000 1.3595 10.2936 0.0000 0.0000 0.0000 3.7935" Properties=species:S:1:pos:R:3 pbc="T T T"
V 0.0000 0.0000 0.0000
Ir 1.3595 7.5777 0.0000
Ir 1.3595 1.3294 1.8968
Ir 1.3595 -1.3294 1.8968
Ir 1.3595 -7.5777 0.0000
Rh 1.3595 4.0398 1.8968
Rh 1.3595 -4.0398 1.8968
```

(20)
The following is a DFT calculation (PBE) of V9Ir11Rh4 after structural relaxation.

calculated volume: 341.6 Å³ per cell
total DFT energy (no corrections): -9.075 eV/atom
D(E_F): 1.04 states/eV/atom
SG: Cmmm, No. 65
ΔE_f: -8.9 eV/f.u.
spin magnetization: 0.0 μB per formula unit

Cell and atoms, written as extended XYZ:
```
24
Lattice="6.4672 -9.6402 0.0000 6.4672 9.6402 0.0000 0.0000 0.0000 2.7393" Properties=species:S:1:pos:R:3 pbc="T T T"
V 0.0000 0.0000 0.0000
V 4.9650 5.4842 0.0000
V 5.0286 1.8506 0.0000
V 7.9693 5.4842 0.0000
V 5.0286 -1.8506 0.0000
V 7.9058 1.8506 0.0000
V 4.9650 -5.4842 0.0000
V 7.9058 -1.8506 0.0000
V 7.9693 -5.4842 0.0000
Ir 3.6860 3.5628 1.3696
Ir 6.4672 7.2768 1.3696
Ir 3.8560 0.0000 1.3696
Ir 6.4672 3.7171 1.3696
Ir 3.6860 -3.5628 1.3696
Ir 6.4672 0.0000 1.3696
Ir 9.2483 3.5628 1.3696
Ir 6.4672 -3.7171 1.3696
Ir 9.0784 0.0000 1.3696
Ir 6.4672 -7.2768 1.3696
Ir 9.2483 -3.5628 1.3696
Rh 2.1870 1.6220 0.0000
Rh 2.1870 -1.6220 0.0000
Rh 10.7473 1.6220 0.0000
Rh 10.7473 -1.6220 0.0000
```